one.
ErCo3Ge3: relaxed, PBE-GGA.

Properties
For the total magnetization, the calculation gives 0.0 μB per formula unit.

Cell lengths 6.3506, 6.3506, 6.3506 Å; angles 90.00, 90.00, 90.00 degrees
Space group Pm-3n (No. 223)
Asymmetric unit:
Er  0.0000  0.0000  0.0000 x2
Co  0.0000  0.2500  0.5000 x6
Ge  0.0000  0.5000  0.2500 x6

***

two.
ErCo3Ge3: relaxed, PBE-GGA.

Properties
For the total magnetization, the calculation gives 0.0 μB per formula unit.

Cell lengths 8.0805, 8.0805, 4.0348 Å; angles 90.00, 90.00, 120.00 degrees
Space group P6_3/m (No. 176)
Asymmetric unit:
Er  0.3333  0.6667  0.2500 x2
Co  0.0634  0.2078  0.2500 x6
Ge  0.1039  0.3825  0.7500 x6

***

Relative energies, in meV/atom, with the most stable structure set to zero: one 379; two 0.

***

one.
Er2CoH: relaxed, PBE-GGA.

Properties
For the total magnetization, the calculation gives 0.4 μB per formula unit.

Cell lengths 3.1598, 3.1598, 6.8435 Å; angles 90.00, 90.00, 90.00 degrees
Space group P4/mmm (No. 123)
Asymmetric unit:
Er  0.0000  0.0000  0.2460 x2
Co  0.5000  0.5000  0.0000 x1
H  0.5000  0.5000  0.5000 x1

***

two.
Er2CoH: relaxed, PBE-GGA.

Properties
For the total magnetization, the calculation gives 0.0 μB per formula unit.

Cell lengths 3.6978, 3.6978, 17.8727 Å; angles 90.00, 90.00, 120.00 degrees
Space group R-3m (No. 166, hexagonal axes)
Asymmetric unit:
Er  0.0000  0.0000  0.2459 x6
Co  0.0000  0.0000  0.0000 x3
H  0.0000  0.0000  0.5000 x3

***

Relative energies, in meV/atom, with the most stable structure set to zero: one 170; two 0.